DFT (PBE+U) results for a relaxed Mn3BeF crystal.

Properties
The calculation puts the total magnetization at 13.81 μB per cell. As for the calculated total energy: -5.40 eV per atom.

```
Mn3BeF
1.0
4.380 0.000 0.000
0.000 4.380 0.000
0.000 0.000 4.380
Mn Be F
3 1 1
Direct
0.000 0.000 0.500
0.000 0.500 0.000
0.500 0.000 0.000
0.500 0.500 0.500
0.000 0.000 0.000
```